1.
# CaTiNb2Ru

An optimized crystal structure of CaTiNb2Ru (PBEsol, the Alexandria database).

Unit cell a=4.654 b=4.654 c=4.480 alpha=90.00 beta=90.00 gamma=90.00
Fractional coordinates of all 5 atoms:
Ca 0.000 0.000 0.000
Ti 0.500 0.500 0.500
Nb 0.000 0.500 0.000
Nb 0.500 0.000 0.000
Ru 0.000 0.000 0.500

Output
- density (g/cm³) = 6.41
- E_tot (eV per atom) = -6.37

---

2.
# TaCuHgS2

An optimized crystal structure of TaCuHgS2 (PBEsol, the Alexandria database).

Unit cell a=4.867 b=4.867 c=4.604 alpha=90.00 beta=90.00 gamma=90.00
Fractional coordinates of all 5 atoms:
Ta 0.000 0.000 0.000
Cu 0.500 0.500 0.000
Hg 0.500 0.500 0.500
S 0.000 0.500 0.500
S 0.500 0.000 0.500

Output
- density (g/cm³) = 7.75
- E_tot (eV per atom) = -3.77

---

3.
# SrMgH3

An optimized crystal structure of SrMgH3 (PBEsol, the Alexandria database).

Unit cell a=4.456 b=4.456 c=4.456 alpha=90.00 beta=90.00 gamma=90.00
Fractional coordinates of all 5 atoms:
Sr 0.000 0.000 0.000
Mg 0.500 0.500 0.500
H 0.000 0.000 0.500
H 0.000 0.500 0.000
H 0.500 0.000 0.000

Output
- density (g/cm³) = 2.16
- E_tot (eV per atom) = -2.54

---

4.
# TcTeSe2

An optimized crystal structure of TcTeSe2 (PBEsol, the Alexandria database).

Unit cell a=4.822 b=3.913 c=5.232 alpha=90.00 beta=117.36 gamma=90.00
Fractional coordinates of all 4 atoms:
Tc 0.000 0.000 0.000
Te 0.806 0.500 0.613
Se 0.168 0.500 0.337
Se 0.510 0.000 0.020

Output
- density (g/cm³) = 7.26
- E_tot (eV per atom) = -5.71